Record 1
ScFeHg2, optimized geometry, DFT PBEsol; space group = F-43m; ΔE_f = 6.1 kJ/mol of atoms; electronic total energy = -16.45 eV per cell
1.0
0.0000 3.3017 3.3017
3.3017 0.0000 3.3017
3.3017 3.3017 0.0000
Sc Fe Hg
1 1 2
Cartesian
0.0000 0.0000 0.0000
4.9525 4.9525 4.9525
1.6508 1.6508 1.6508
3.3017 3.3017 3.3017


Record 2
Li2MnP2O7, optimized geometry, DFT PBEsol; E above lowest polymorph = 2 meV per atom; space group = P2_1; ΔE_f (raw) = -2.176 eV per atom; electronic total energy = -176.26 eV per cell
1.0
5.0467 0.0000 0.0000
0.0000 8.3743 0.0000
-2.5042 0.0000 6.7442
Li Mn P O
4 2 4 14
Cartesian
-0.3078 0.0000 2.7199
-0.5290 2.7597 5.7582
3.0715 6.9468 0.9860
2.8504 4.1871 4.0243
-0.3360 5.7891 5.2125
2.8785 1.6019 1.5317
-1.8954 8.3336 6.5892
0.3697 3.2318 2.8392
2.1728 7.4190 3.9050
4.4380 4.1465 0.1550
-1.9031 4.0754 5.9741
-0.0676 4.2599 1.6770
-0.3848 1.9191 2.6739
1.4309 1.2309 0.0446
-0.0813 3.9458 4.1232
-1.0274 7.0819 6.6753
0.6531 7.2526 3.9678
1.8894 3.0655 2.7764
3.5700 2.8947 0.0689
1.1116 5.4180 6.6996
2.6239 8.1329 2.6211
2.9273 6.1063 4.0703
2.6101 0.0727 5.0672
4.4457 8.2626 0.7701


Record 3
KCa2Ir, optimized geometry, DFT PBEsol; E above lowest polymorph = 285 meV per atom; space group = P4/mmm; ΔE_f = 35.7 kJ/mol of atoms; electronic total energy = -13.74 eV per cell
1.0
4.9074 0.0000 0.0000
0.0000 4.9074 0.0000
0.0000 0.0000 4.2683
K Ca Ir
1 2 1
Cartesian
0.0000 0.0000 0.0000
0.0000 2.4537 2.1341
2.4537 0.0000 2.1341
2.4537 2.4537 0.0000


Record 4
CdSi2MoI, optimized geometry, DFT PBEsol; space group = P4/mmm; ΔE_f (raw) = 1.882 eV per atom; electronic total energy = -16.82 eV per cell
1.0
5.2159 0.0000 0.0000
0.0000 5.2159 0.0000
0.0000 0.0000 5.0503
Cd Si Mo I
1 2 1 1
Cartesian
0.0000 0.0000 0.0000
0.0000 2.6080 2.5251
2.6080 0.0000 2.5251
2.6080 2.6080 0.0000
2.6080 2.6080 2.5251


Record 5
NbAgTe2, optimized geometry, DFT PBEsol; space group = R-3m; ΔE_f (raw) = -0.155 eV per atom; electronic total energy = -21.80 eV per cell
1.0
1.7897 1.0333 8.9943
-1.7897 1.0333 8.9943
0.0000 -2.0666 8.9943
Nb Ag Te
1 1 2
Cartesian
0.0000 0.0000 0.0000
0.0000 0.0000 13.4915
0.0000 0.0000 10.8368
0.0000 0.0000 16.1463


Record 6
BaSn2Ru2, optimized geometry, DFT PBEsol; space group = I4/mmm; ΔE_f = -16.7 kJ/mol of atoms; electronic total energy = -31.88 eV per cell
1.0
-2.3088 2.3088 5.5027
2.3088 -2.3088 5.5027
2.3088 2.3088 -5.5027
Ba Sn Ru
1 2 2
Cartesian
0.0000 0.0000 0.0000
0.0000 0.0000 3.9331
0.0000 0.0000 7.0723
2.3088 0.0000 2.7514
0.0000 2.3088 2.7514